Density functional theory data (PBE) for crystalline TlGa2Te2 at its relaxed geometry.

## Properties
* symmetry: P4/mbm (127)
* distance to the lowest polymorph of the same formula: 144.2 meV per atom
* formation energy from raw total energies: -0.05 eV per atom
* calculated total energy: -2.991 eV per atom

a b c (Å): 8.5496 8.5496 3.8810
angles (deg): 90.00 90.00 90.00
Last column: nearest neighbours and their distance in Å.
Positions (direct):
1 Ga 0.1416 0.6416 0.5000  6 Te 3.17, 1 Ga 3.42
2 Ga 0.8584 0.3584 0.5000  6 Te 3.17, 1 Ga 3.42
3 Ga 0.6416 0.8584 0.5000  6 Te 3.17, 1 Ga 3.42
4 Ga 0.3584 0.1416 0.5000  6 Te 3.17, 1 Ga 3.42
5 Tl 0.0000 0.0000 0.0000  4 Te 3.25
6 Tl 0.5000 0.5000 0.0000  4 Te 3.25
7 Te 0.8485 0.6515 0.0000  6 Ga 3.17, 2 Tl 3.25
8 Te 0.6515 0.1515 0.0000  6 Ga 3.17, 2 Tl 3.25
9 Te 0.1515 0.3485 0.0000  6 Ga 3.17, 2 Tl 3.25
10 Te 0.3485 0.8485 0.0000  6 Ga 3.17, 2 Tl 3.25